A plane-wave DFT calculation with GGA-PBEsol was carried out for a relaxed structure of HPbSe2.

Lattice parameters (Å, degrees): 4.833 4.833 4.833 60.00 60.00 60.00
Element x y z (fractional)
Se 0.250 0.250 0.250
Se 0.750 0.750 0.750
Pb 0.500 0.500 0.500
H 0.000 0.000 0.000

The total magnetization comes out at 0.0 μB per formula unit. The calculation puts the total energy at -3.24 eV/atom. The value obtained for the calculated volume is 79.83 Å³ per cell.

A plane-wave DFT calculation with GGA-PBEsol was carried out for a relaxed structure of HPb3Se.

Lattice parameters (Å, degrees): 5.638 5.638 5.638 90.00 90.00 90.00
Site moments in Bohr magnetons follow the coordinates.
Element x y z (fractional)
Pb 0.000 0.000 0.500  0.00
Se 0.000 0.000 0.000  -0.01
Pb 0.000 0.500 0.000  0.00
H 0.500 0.500 0.500  0.17
Pb 0.500 0.000 0.000  0.00

The total magnetization comes out at 0.4 μB per formula unit. The calculation puts the total energy at -3.04 eV/atom. The value obtained for the calculated volume is 179.24 Å³ per cell.

A plane-wave DFT calculation with GGA-PBEsol was carried out for a relaxed structure of TaH3Pb.

Lattice parameters (Å, degrees): 3.760 3.760 3.760 90.00 90.00 90.00
Element x y z (fractional)
H 0.500 0.000 0.000
H 0.000 0.000 0.500
Pb 0.500 0.500 0.500
H 0.000 0.500 0.000
Ta 0.000 0.000 0.000

The total magnetization comes out at 0.0 μB per formula unit. The calculation puts the total energy at -5.00 eV/atom. The value obtained for the calculated volume is 53.17 Å³ per cell.

A plane-wave DFT calculation with GGA-PBEsol was carried out for a relaxed structure of Ta2HPb.

Lattice parameters (Å, degrees): 4.554 4.554 4.554 60.00 60.00 60.00
Element x y z (fractional)
H 0.000 0.000 0.000
Ta 0.250 0.250 0.250
Ta 0.750 0.750 0.750
Pb 0.500 0.500 0.500

The total magnetization comes out at 0.0 μB per formula unit. The calculation puts the total energy at -7.01 eV/atom. The value obtained for the calculated volume is 66.76 Å³ per cell.

A plane-wave DFT calculation with GGA-PBEsol was carried out for a relaxed structure of TcH2Pb.

Lattice parameters (Å, degrees): 4.950 4.950 4.950 107.75 107.75 112.96
Site moments in Bohr magnetons follow the coordinates.
Element x y z (fractional)
Tc 0.750 0.250 0.500  0.78
Pb 0.250 0.750 0.500  0.00
Tc 0.500 0.500 0.000  0.78
H 0.625 0.240 0.115  -0.01
H 0.490 0.375 0.615  -0.01
H 0.760 0.875 0.385  -0.01
Pb 0.000 0.000 0.000  0.00
H 0.125 0.510 0.885  -0.01

The total magnetization comes out at 0.8 μB per formula unit. The calculation puts the total energy at -5.12 eV/atom. The value obtained for the calculated volume is 93.12 Å³ per cell.

A plane-wave DFT calculation with GGA-PBEsol was carried out for a relaxed structure of TiTcH2Pb.

Lattice parameters (Å, degrees): 3.722 3.722 5.217 90.00 90.00 90.00
Element x y z (fractional)
H 0.000 0.500 0.000
Tc 0.000 0.000 0.000
Pb 0.000 0.000 0.500
H 0.500 0.000 0.000
Ti 0.500 0.500 0.500

The total magnetization comes out at 0.0 μB per formula unit. The calculation puts the total energy at -5.28 eV/atom. The value obtained for the calculated volume is 72.28 Å³ per cell.

A plane-wave DFT calculation with GGA-PBEsol was carried out for a relaxed structure of Y2TcHPb.

Lattice parameters (Å, degrees): 3.588 5.749 5.749 90.00 90.00 90.00
Site moments in Bohr magnetons follow the coordinates.
Element x y z (fractional)
Pb 0.000 0.000 0.000  0.02
Tc 0.500 0.500 0.500  1.55
Y 0.000 0.500 0.000  -0.09
H 0.500 0.000 0.000  0.00
Y 0.000 0.000 0.500  -0.09

The total magnetization comes out at 1.4 μB per formula unit. The calculation puts the total energy at -5.49 eV/atom. The value obtained for the calculated volume is 118.60 Å³ per cell.

A plane-wave DFT calculation with GGA-PBEsol was carried out for a relaxed structure of TeH3Pb.

Lattice parameters (Å, degrees): 4.098 4.098 4.098 90.00 90.00 90.00
Element x y z (fractional)
H 0.000 0.500 0.000
Pb 0.500 0.500 0.500
Te 0.000 0.000 0.000
H 0.000 0.000 0.500
H 0.500 0.000 0.000

The total magnetization comes out at 0.0 μB per formula unit. The calculation puts the total energy at -2.88 eV/atom. The value obtained for the calculated volume is 68.82 Å³ per cell.